DFT (PBEsol) results for an optimized crystal structure of ScFe2Se.

abc: 3.685 3.685 4.269
angles: 90.00 90.00 90.00
Fractional positions:
Se: 0.000 0.000 0.500
Fe: 0.500 0.000 0.000
Fe: 0.000 0.500 0.000
Sc: 0.500 0.500 0.500

Values from the calculation:
ΔE_f (raw): -0.23 eV per atom
Density: 6.751 g cm⁻³

---

DFT (PBEsol) results for an optimized crystal structure of ScFeSe2.

abc: 3.437 3.493 6.398
angles: 105.84 105.58 90.00
Fractional positions:
Sc: 0.205 0.705 0.410
Fe: 0.461 0.461 0.922
Se: 0.036 0.036 0.072
Se: 0.798 0.298 0.595

Values from the calculation:
ΔE_f (raw): -0.84 eV per atom
Offset from the most stable computed form: 0.000 eV/atom
Density: 6.055 g cm⁻³

---

no.,size of the total moment (μB per formula unit)
1,4.8
2,2.9